# 1
Computed, not measured: Ca2Ir after structural relaxation at the PBE level of DFT.

Cell lengths 4.2161, 4.2161, 6.1810 Å; angles 90.00, 90.00, 120.00 degrees
With the nearest neighbours (Å) after each atom.
Space group P-3m1 (No. 164)
Unique sites:
1 Ca 0.3333 0.6667 0.2264 [2 per cell]  3 Ir 2.81
2 Ir 0.0000 0.0000 0.0000 [1 per cell]  6 Ca 2.81

Electronic total energy   -4.33 eV/atom

# 2
Computed, not measured: MgTlTc2 after structural relaxation at the PBE level of DFT.

Cell lengths 6.5493, 6.5493, 6.5493 Å; angles 90.00, 90.00, 90.00 degrees
With the nearest neighbours (Å) after each atom.
Space group Fm-3m (No. 225)
Unique sites:
1 Mg 0.0000 0.0000 0.0000 [4 per cell]  8 Tc 2.84
2 Tl 0.0000 0.0000 0.5000 [4 per cell]  8 Tc 2.84
3 Tc 0.2500 0.2500 0.2500 [8 per cell]  4 Tl 2.84, 4 Mg 2.84

Energy relative to the lowest polymorph listed for this composition   521 meV/atom

# 3
Computed, not measured: LaPr6Pd3 after structural relaxation at the PBE level of DFT.

Cell lengths 12.6146, 12.5880, 7.4844 Å; angles 90.00, 90.00, 90.00 degrees
With the nearest neighbours (Å) after each atom.
Space group Cmc2_1 (No. 36)
Unique sites:
1 La 0.0000 0.1973 0.0000 [4 per cell]  4 Pd 3.07-3.31, 1 Pr 3.25
2 Pr 0.0000 0.1978 0.4341 [4 per cell]  4 Pd 3.09-3.30, 1 La 3.25
3 Pr 0.0000 0.4991 0.4678 [4 per cell]  4 Pd 2.94
4 Pr 0.2022 0.0007 0.4676 [8 per cell]  4 Pd 3.14-3.18
5 Pr 0.2080 0.2804 0.7158 [8 per cell]  1 Pd 2.83
6 Pd 0.0000 0.0200 0.7186 [4 per cell]  2 La 3.07-3.19, 6 Pr 3.09-3.18
7 Pd 0.1356 0.3812 0.2170 [8 per cell]  5 Pr 2.83-3.16

Electronic total energy   -5.31 eV/atom

# 4
Computed, not measured: Ce2Pr3YTe6 after structural relaxation at the PBE level of DFT.

Cell lengths 19.6160, 4.4587, 9.0550 Å; angles 90.00, 103.90, 90.00 degrees
With the nearest neighbours (Å) after each atom.
Space group C2/m (No. 12)
Unique sites:
1 Ce 0.1673 0.0000 0.3359 [4 per cell]  6 Te 3.16-3.18
2 Pr 0.0000 0.5000 0.5000 [2 per cell]  6 Te 3.18-3.24
3 Pr 0.1681 0.0000 0.8342 [4 per cell]  6 Te 3.18-3.22
4 Y 0.0000 0.5000 0.0000 [2 per cell]  6 Te 3.10-3.12
5 Te 0.0003 0.0000 0.2408 [4 per cell]  2 Y 3.12, 1 Ce 3.18, 3 Pr 3.21-3.24
6 Te 0.1627 0.5000 0.0844 [4 per cell]  1 Y 3.10, 2 Ce 3.17, 3 Pr 3.20-3.22
7 Te 0.1670 0.5000 0.5825 [4 per cell]  3 Ce 3.16, 3 Pr 3.18

Formation energy without anion corrections   -1.40 eV/atom

Across the entries above, magnetization takes the values 0.0; 3.3; 0.0; 2.4 μB per formula unit, respectively.